Here is an optimized crystal structure of K2Mg2Br5 from Alexandria via LeMat-Bulk. Energies are from GGA-PBE.

```
K2Mg2Br5
1.0
-4.811 2.932 0.145
1.263 -2.979 -7.384
-3.169 -5.450 5.063
K Mg Br
2 2 5
Direct
0.391 0.782 0.697
0.609 0.218 0.303
0.148 0.297 0.873
0.852 0.703 0.127
0.349 0.697 0.089
0.651 0.303 0.911
0.150 0.300 0.555
0.850 0.700 0.445
0.000 0.000 0.000
```

Results
Its energy relative to the elements, uncorrected is -1.352 eV/atom. As for the spin magnetization: 0.00 Bohr magnetons per cell. Its volume is 313.69 Å³/cell.


Here is an optimized crystal structure of KMg2Br from Alexandria via LeMat-Bulk. Energies are from GGA-PBE.

```
KMg2Br
1.0
10.564 0.011 0.006
9.881 3.735 0.006
9.881 1.810 3.267
Br K Mg
1 1 2
Direct
0.250 0.250 0.250
0.750 0.750 0.750
0.985 0.985 0.985
0.515 0.515 0.515
```

Results
Its energy relative to the elements, uncorrected is -0.252 eV/atom. As for the spin magnetization: 0.00 Bohr magnetons per cell. Its volume is 128.27 Å³/cell.


Here is an optimized crystal structure of K2MgBr from Alexandria via LeMat-Bulk. Energies are from GGA-PBE.

```
K2MgBr
1.0
7.918 0.016 0.000
4.807 6.292 0.000
-6.362 -3.154 3.502
Br K Mg
1 2 1
Direct
0.750 0.250 0.500
0.000 0.000 0.000
0.250 0.750 0.500
0.500 0.500 0.000
```

Results
Its energy relative to the elements, uncorrected is -0.488 eV/atom. As for the spin magnetization: 0.00 Bohr magnetons per cell. Its volume is 174.18 Å³/cell.


Here is an optimized crystal structure of K2MgBr from Alexandria via LeMat-Bulk. Energies are from GGA-PBE.

```
K2MgBr
1.0
9.423 0.000 0.000
0.000 9.423 0.000
4.712 4.712 4.375
K Mg Br
4 2 2
Direct
0.680 0.125 0.250
0.070 0.625 0.250
0.375 0.320 0.750
0.875 0.930 0.750
0.500 0.500 0.000
0.250 0.750 0.500
0.000 0.000 0.000
0.750 0.250 0.500
```

Results
Its energy relative to the elements, uncorrected is -0.533 eV/atom. As for the spin magnetization: 0.00 Bohr magnetons per cell. Its volume is 388.44 Å³/cell.


Here is an optimized crystal structure of KMg2Br from Alexandria via LeMat-Bulk. Energies are from GGA-PBE.

```
KMg2Br
1.0
4.987 -2.823 1.663
0.077 -3.207 5.031
0.287 -5.954 -0.262
K Mg Br
1 2 1
Direct
0.000 0.000 0.000
0.250 0.250 0.250
0.750 0.750 0.750
0.500 0.500 0.500
```

Results
Its energy relative to the elements, uncorrected is -0.030 eV/atom. As for the spin magnetization: 0.00 Bohr magnetons per cell. Its volume is 150.22 Å³/cell.


Here is an optimized crystal structure of KMg2Br from Alexandria via LeMat-Bulk. Energies are from GGA-PBE.

```
KMg2Br
1.0
-2.321 2.884 -1.419
-3.437 -3.347 -1.180
-2.952 0.774 6.400
Br K Mg
1 1 2
Direct
0.500 0.000 0.500
0.000 0.500 0.500
0.000 0.000 0.000
0.500 0.500 0.000
```

Results
Its energy relative to the elements, uncorrected is -0.422 eV/atom. As for the spin magnetization: 0.00 Bohr magnetons per cell. Its volume is 138.88 Å³/cell.


Here is an optimized crystal structure of K2MgBr from Alexandria via LeMat-Bulk. Energies are from GGA-PBE.

```
K2MgBr
1.0
-1.192 2.611 -10.246
-3.205 -0.899 -10.106
-3.615 2.077 0.097
Br K Mg
1 2 1
Direct
0.702 0.702 0.798
0.074 0.074 0.926
0.278 0.278 0.221
0.445 0.445 0.554
```

Results
Its energy relative to the elements, uncorrected is -0.642 eV/atom. As for the spin magnetization: 0.00 Bohr magnetons per cell. Its volume is 172.78 Å³/cell.


Here is an optimized crystal structure of K4MgBr6 from Alexandria via LeMat-Bulk. Energies are from GGA-PBE.

```
K4MgBr6
1.0
9.086 -0.017 -0.060
0.059 9.086 -0.060
0.017 0.017 9.086
K Mg Br
8 2 12
Direct
0.372 0.128 0.250
0.872 0.250 0.372
0.250 0.628 0.128
0.250 0.250 0.750
0.750 0.750 0.250
0.750 0.372 0.872
0.128 0.750 0.628
0.628 0.872 0.750
0.500 0.500 0.500
0.000 0.000 0.000
0.713 0.056 0.067
0.067 0.287 0.056
0.567 0.444 0.213
0.944 0.067 0.713
0.556 0.213 0.567
0.213 0.433 0.444
0.787 0.567 0.556
0.444 0.787 0.433
0.056 0.933 0.287
0.433 0.556 0.787
0.933 0.713 0.944
0.287 0.944 0.933
```

Results
Its energy relative to the elements, uncorrected is -1.674 eV/atom. As for the spin magnetization: 0.00 Bohr magnetons per cell. Its volume is 750.14 Å³/cell.


Here is an optimized crystal structure of KMg2Br from Alexandria via LeMat-Bulk. Energies are from GGA-PBE.

```
KMg2Br
1.0
3.700 0.000 0.000
0.000 3.700 0.000
0.000 0.000 9.538
Br K Mg
1 1 2
Direct
0.500 0.500 0.250
0.500 0.500 0.750
0.000 0.000 0.049
0.000 0.000 0.451
```

Results
Its energy relative to the elements, uncorrected is -0.222 eV/atom. As for the spin magnetization: 0.00 Bohr magnetons per cell. Its volume is 130.55 Å³/cell.


Here is an optimized crystal structure of K3Mg5Br12 from Alexandria via LeMat-Bulk. Energies are from GGA-PBE.

```
K3Mg5Br12
1.0
-6.847 -8.455 -10.537
-4.957 -4.049 13.727
-3.174 14.613 -2.406
K Mg Br
12 20 48
Direct
0.750 0.375 0.125
0.875 0.750 0.125
0.375 0.750 0.625
0.250 0.125 0.375
0.875 0.125 0.250
0.375 0.625 0.250
0.625 0.375 0.750
0.125 0.875 0.750
0.750 0.875 0.625
0.625 0.250 0.375
0.125 0.250 0.875
0.250 0.625 0.875
0.125 0.375 0.250
0.000 0.500 0.000
0.000 0.000 0.000
0.375 0.250 0.125
0.500 0.000 0.500
0.500 0.500 0.000
0.125 0.750 0.375
0.750 0.125 0.875
0.750 0.625 0.375
0.375 0.125 0.750
0.625 0.875 0.250
0.500 0.500 0.500
0.500 0.000 0.000
0.000 0.000 0.500
0.250 0.375 0.625
0.250 0.875 0.125
0.000 0.500 0.500
0.875 0.250 0.625
0.625 0.750 0.875
0.875 0.625 0.750
0.698 0.114 0.018
0.320 0.518 0.404
0.982 0.386 0.302
0.518 0.198 0.114
0.585 0.698 0.680
0.982 0.596 0.180
0.320 0.802 0.415
0.096 0.915 0.114
0.596 0.982 0.680
0.698 0.585 0.180
0.802 0.482 0.386
0.820 0.904 0.018
0.114 0.698 0.518
0.386 0.404 0.085
0.085 0.904 0.386
0.415 0.114 0.596
0.085 0.180 0.198
0.482 0.680 0.096
0.820 0.915 0.302
0.114 0.415 0.096
0.386 0.982 0.802
0.596 0.614 0.415
0.904 0.820 0.518
0.802 0.320 0.915
0.404 0.386 0.585
0.096 0.180 0.482
0.198 0.680 0.085
0.180 0.085 0.698
0.614 0.018 0.198
0.886 0.585 0.904
0.518 0.320 0.904
0.585 0.886 0.404
0.915 0.820 0.802
0.915 0.096 0.614
0.886 0.302 0.482
0.180 0.096 0.982
0.614 0.596 0.915
0.404 0.018 0.320
0.302 0.415 0.820
0.198 0.518 0.614
0.904 0.085 0.886
0.680 0.198 0.585
0.482 0.802 0.886
0.018 0.404 0.820
0.415 0.302 0.320
0.018 0.614 0.698
0.680 0.482 0.596
0.302 0.886 0.982
```

Results
Its energy relative to the elements, uncorrected is -1.445 eV/atom. As for the spin magnetization: 0.00 Bohr magnetons per cell. Its volume is 2674.71 Å³/cell.


Here is an optimized crystal structure of K2MgBr from Alexandria via LeMat-Bulk. Energies are from GGA-PBE.

```
K2MgBr
1.0
0.000 4.366 4.366
4.366 0.000 4.366
4.366 4.366 0.000
K Mg Br
2 1 1
Direct
0.250 0.250 0.250
0.750 0.750 0.750
0.000 0.000 0.000
0.500 0.500 0.500
```

Results
Its energy relative to the elements, uncorrected is -0.451 eV/atom. As for the spin magnetization: 0.00 Bohr magnetons per cell. Its volume is 166.48 Å³/cell.


Here is an optimized crystal structure of K2MgBr from Alexandria via LeMat-Bulk. Energies are from GGA-PBE.

```
K2MgBr
1.0
6.196 0.000 0.000
3.098 5.366 0.000
3.098 1.789 5.059
Br K Mg
1 2 1
Direct
0.500 0.500 0.500
0.000 0.000 0.000
0.250 0.250 0.250
0.750 0.750 0.750
```

Results
Its energy relative to the elements, uncorrected is -0.305 eV/atom. As for the spin magnetization: 0.45 Bohr magnetons per cell. Its volume is 168.22 Å³/cell.


Here is an optimized crystal structure of K2MgBr from Alexandria via LeMat-Bulk. Energies are from GGA-PBE.

```
K2MgBr
1.0
-1.452 3.826 -1.137
-3.987 -1.356 0.528
0.284 3.153 10.249
Br K Mg
1 2 1
Direct
0.500 0.500 0.947
0.000 0.000 0.835
0.500 0.500 0.246
0.000 0.000 0.473
```

Results
Its energy relative to the elements, uncorrected is -0.604 eV/atom. As for the spin magnetization: 0.00 Bohr magnetons per cell. Its volume is 193.35 Å³/cell.


Here is an optimized crystal structure of KMg2Br from Alexandria via LeMat-Bulk. Energies are from GGA-PBE.

```
KMg2Br
1.0
-3.328 -3.700 -3.282
-0.891 -4.383 3.941
-1.059 5.796 0.905
Br K Mg
1 1 2
Direct
0.500 0.500 0.000
0.750 0.250 0.500
0.000 0.000 0.000
0.250 0.750 0.500
```

Results
Its energy relative to the elements, uncorrected is -0.253 eV/atom. As for the spin magnetization: 0.00 Bohr magnetons per cell. Its volume is 133.85 Å³/cell.


Here is an optimized crystal structure of K6MgBr8 from Alexandria via LeMat-Bulk. Energies are from GGA-PBE.

```
K6MgBr8
1.0
-0.903 -4.161 7.369
-6.873 -5.011 -0.277
2.328 -8.135 -0.913
K Mg Br
6 1 8
Direct
0.058 0.482 0.700
0.300 0.942 0.518
0.518 0.300 0.942
0.482 0.700 0.058
0.700 0.058 0.482
0.942 0.518 0.300
0.000 0.000 0.000
0.154 0.693 0.906
0.094 0.846 0.307
0.307 0.094 0.846
0.656 0.656 0.656
0.344 0.344 0.344
0.693 0.906 0.154
0.906 0.154 0.693
0.846 0.307 0.094
```

Results
Its energy relative to the elements, uncorrected is -1.656 eV/atom. As for the spin magnetization: 0.00 Bohr magnetons per cell. Its volume is 524.68 Å³/cell.


Here is an optimized crystal structure of K2MgBr from Alexandria via LeMat-Bulk. Energies are from GGA-PBE.

```
K2MgBr
1.0
7.214 -0.018 -0.014
1.915 6.955 0.014
-3.272 -5.169 3.823
Br K Mg
1 2 1
Direct
0.250 0.750 0.500
0.052 0.052 0.000
0.448 0.448 0.000
0.750 0.250 0.500
```

Results
Its energy relative to the elements, uncorrected is -0.516 eV/atom. As for the spin magnetization: 0.00 Bohr magnetons per cell. Its volume is 192.32 Å³/cell.


Here is an optimized crystal structure of K2MgBr from Alexandria via LeMat-Bulk. Energies are from GGA-PBE.

```
K2MgBr
1.0
-0.059 9.998 5.548
-2.804 7.671 8.002
1.493 7.346 8.634
Br K Mg
1 2 1
Direct
0.755 0.755 0.755
0.025 0.025 0.025
0.237 0.237 0.237
0.482 0.482 0.482
```

Results
Its energy relative to the elements, uncorrected is -0.494 eV/atom. As for the spin magnetization: 0.00 Bohr magnetons per cell. Its volume is 183.25 Å³/cell.


Here is an optimized crystal structure of KMg2Br from Alexandria via LeMat-Bulk. Energies are from GGA-PBE.

```
KMg2Br
1.0
-1.038 0.478 3.554
-2.489 -1.735 -2.175
4.199 -9.092 2.448
Br K Mg
1 1 2
Direct
0.500 0.500 0.250
0.500 0.500 0.750
0.000 0.000 0.043
0.000 0.000 0.457
```

Results
Its energy relative to the elements, uncorrected is -0.240 eV/atom. As for the spin magnetization: 0.00 Bohr magnetons per cell. Its volume is 129.79 Å³/cell.


Here is an optimized crystal structure of K2MgBr from Alexandria via LeMat-Bulk. Energies are from GGA-PBE.

```
K2MgBr
1.0
-1.502 2.129 -3.001
-1.647 -3.288 -1.508
-8.011 1.641 5.174
Br K Mg
1 2 1
Direct
0.500 0.500 0.750
0.000 0.000 0.956
0.000 0.000 0.544
0.500 0.500 0.250
```

Results
Its energy relative to the elements, uncorrected is -0.674 eV/atom. As for the spin magnetization: 0.00 Bohr magnetons per cell. Its volume is 152.84 Å³/cell.


Here is an optimized crystal structure of K3MgBr6 from Alexandria via LeMat-Bulk. Energies are from GGA-PBE.

```
K3MgBr6
1.0
-0.332 5.500 -2.888
-11.467 -0.794 -0.194
2.393 5.340 9.895
K Mg Br
6 2 12
Direct
0.469 0.937 0.696
0.969 0.696 0.937
0.447 0.383 0.617
0.947 0.617 0.383
0.969 0.063 0.304
0.469 0.304 0.063
0.047 0.207 0.793
0.547 0.793 0.207
0.209 0.665 0.660
0.709 0.660 0.665
0.168 0.421 0.876
0.668 0.876 0.421
0.150 0.074 0.926
0.648 0.213 0.787
0.148 0.787 0.213
0.650 0.926 0.074
0.168 0.124 0.579
0.668 0.579 0.124
0.209 0.340 0.335
0.709 0.335 0.340
```

Results
Its energy relative to the elements, uncorrected is -1.452 eV/atom. As for the spin magnetization: 0.41 Bohr magnetons per cell. Its volume is 795.12 Å³/cell.


| no. | electronic total energy (eV/atom) |
| --- | --- |
| 1 | -2.879 |
| 2 | -1.742 |
| 3 | -1.853 |
| 4 | -1.898 |
| 5 | -1.520 |
| 6 | -1.912 |
| 7 | -2.007 |
| 8 | -3.130 |
| 9 | -1.712 |
| 10 | -3.012 |
| 11 | -1.817 |
| 12 | -1.671 |
| 13 | -1.969 |
| 14 | -1.743 |
| 15 | -3.094 |
| 16 | -1.881 |
| 17 | -1.859 |
| 18 | -1.729 |
| 19 | -2.039 |
| 20 | -2.945 |